Below is a relaxed structure of HgRh2W, with properties calculated at the PBE level.

```
4
Lattice="-0.1618 -2.8621 0.1314 2.2770 -0.0486 1.7457 -4.7646 0.5552 6.2302" Properties=species:S:1:pos:R:3 pbc="T T T"
Hg -1.3247 -1.1777 4.0536
Rh -3.6856 0.4295 4.8192
Rh -1.0791 0.1258 1.4110
W 1.0576 -1.4553 0.9386
```

Results
DFT formation energy   -0.095 eV/atom
Magnetic moment   0.000 μB per atom
Crystal system   tetragonal